Record 1
CaMgSi2: relaxed, GGA-PBE.

extended XYZ file:
```
8
Lattice="-2.3724 2.3724 8.8245 2.3724 -2.3724 8.8245 2.3724 2.3724 -8.8245" Properties=species:S:1:pos:R:3 pbc="T T T"
Ca 0.0000 0.0000 0.0000
Ca 0.0000 2.3724 4.4122
Mg 2.3724 0.0000 4.4122
Mg 0.0000 0.0000 8.8245
Si 1.1862 -0.6269 6.6184
Si 1.7455 1.1862 2.2061
Si 1.1862 2.9992 -2.2061
Si 0.6269 1.1862 11.0306
```

calculated total energy	-14.10	eV/f.u.
uncorrected formation energy	0.087	eV/atom
space group	No. 122
density of states at the Fermi level	0.07	states/eV per atom
total magnetic moment	0.00	μB per atom

---

Record 2
HfTiOs2: relaxed, GGA-PBE.

extended XYZ file:
```
4
Lattice="-1.4079 2.3861 5.0866 1.4079 -2.3861 5.0866 1.4079 2.3861 -5.0866" Properties=species:S:1:pos:R:3 pbc="T T T"
Hf 0.0000 0.0000 0.0000
Ti 0.0000 0.0000 5.0866
Os 0.0000 0.0000 2.7427
Os 0.0000 0.0000 7.4305
```

calculated total energy	-38.45	eV/f.u.
space group	No. 71
density of states at the Fermi level	0.73	states/eV per atom
total magnetic moment	0.00	μB per atom

---

Record 3
Tm4Sc3Se8: relaxed, GGA-PBE.

extended XYZ file:
```
15
Lattice="5.5748 -5.5793 0.0000 5.5748 5.5793 0.0000 -5.5436 0.0000 5.5808" Properties=species:S:1:pos:R:3 pbc="T T T"
Tm 0.0000 0.0000 0.0000
Tm 2.7874 2.7897 0.0000
Tm 2.7874 -2.7897 0.0000
Tm 2.8030 0.0000 2.7904
Sc -2.7718 0.0000 2.7904
Sc 0.0156 2.7897 2.7904
Sc 0.0156 -2.7897 2.7904
Se 2.8030 2.8255 2.7904
Se -0.0192 0.0000 2.8479
Se -2.6927 0.0000 5.5460
Se 5.5748 2.7306 0.0000
Se 5.5748 -2.7306 0.0000
Se 8.2987 0.0000 0.0347
Se 5.6251 0.0000 2.7329
Se 2.8030 -2.8255 2.7904
```

calculated total energy	-90.62	eV/f.u.
uncorrected formation energy	-1.724	eV/atom
space group	No. 12
density of states at the Fermi level	0.45	states/eV per atom
total magnetic moment	0.00	μB per atom

---

Record 4
CsIn2Hg2: relaxed, GGA-PBE.

extended XYZ file:
```
10
Lattice="9.6418 0.0000 0.0000 0.0000 9.6418 0.0000 0.0000 0.0000 3.4901" Properties=species:S:1:pos:R:3 pbc="T T T"
Cs 0.0000 0.0000 0.0000
Cs 4.8209 4.8209 0.0000
In 1.3309 3.4901 1.7451
In 3.4901 8.3110 1.7451
In 6.1518 1.3309 1.7451
In 8.3110 6.1518 1.7451
Hg 1.4112 6.2321 0.0000
Hg 3.4097 1.4112 0.0000
Hg 6.2321 8.2306 0.0000
Hg 8.2306 3.4097 0.0000
```

energy above the most stable polymorph in this dataset	88.8	meV/atom
calculated total energy	-7.19	eV/f.u.
space group	No. 127
density of states at the Fermi level	0.54	states/eV per atom
total magnetic moment	0.00	μB per atom

---

Record 5
TbHo5Tm3: relaxed, GGA-PBE.

extended XYZ file:
```
18
Lattice="8.3144 -3.9473 0.0000 8.3144 3.9473 0.0000 -7.8802 0.0000 9.1521" Properties=species:S:1:pos:R:3 pbc="T T T"
Tb 2.8876 0.0000 1.1707
Tb 5.8610 0.0000 7.9814
Ho -2.3923 0.0000 5.1879
Ho 5.5011 2.3171 2.0214
Ho 3.2475 2.3171 7.1307
Ho -2.3558 0.0000 8.5149
Ho 8.3144 1.4144 0.0000
Ho 8.3144 -1.4144 0.0000
Ho 11.1044 0.0000 0.6372
Ho 5.5011 -2.3171 2.0214
Ho 3.2475 -2.3171 7.1307
Ho 11.1409 0.0000 3.9642
Tm 0.0000 0.0000 0.0000
Tm 0.1953 0.0000 3.0892
Tm 0.9414 0.0000 6.2488
Tm 4.3743 0.0000 4.5760
Tm 7.8072 0.0000 2.9033
Tm 8.5533 0.0000 6.0629
```

energy above the most stable polymorph in this dataset	302.3	meV/atom
calculated total energy	-36.99	eV/f.u.
space group	No. 12
density of states at the Fermi level	1.47	states/eV per atom
total magnetic moment	0.00	μB per atom

---

Record 6
AcPr2H: relaxed, GGA-PBE.

extended XYZ file:
```
4
Lattice="1.9186 1.1077 9.1830 -1.9186 1.1077 9.1830 0.0000 -2.2154 9.1830" Properties=species:S:1:pos:R:3 pbc="T T T"
Ac 0.0000 0.0000 0.0000
Pr 0.0000 0.0000 6.0495
Pr 0.0000 0.0000 12.3694
H 0.0000 0.0000 22.9895
```

energy above the most stable polymorph in this dataset	16.4	meV/atom
calculated total energy	-17.56	eV/f.u.
space group	No. 160
density of states at the Fermi level	1.06	states/eV per atom
total magnetic moment	0.00	μB per atom

---

Record 7
Pm2HoNpSb4: relaxed, GGA-PBE.

extended XYZ file:
```
8
Lattice="7.6833 0.0000 0.0000 0.0000 4.4370 0.0000 -2.5447 0.0000 7.2556" Properties=species:S:1:pos:R:3 pbc="T T T"
Pm 0.0000 0.0000 0.0000
Pm 3.8416 2.2185 0.0000
Ho -1.2724 2.2185 3.6278
Np 2.5693 0.0000 3.6278
Sb 0.0119 0.0000 5.3815
Sb 1.2782 2.2185 1.8658
Sb 3.8604 2.2185 5.3899
Sb 5.1267 0.0000 1.8742
```

calculated total energy	-50.80	eV/f.u.
uncorrected formation energy	-0.912	eV/atom
space group	No. 10
density of states at the Fermi level	1.48	states/eV per atom
total magnetic moment	0.49	μB per atom

---

Record 8
PmPb7: relaxed, GGA-PBE.

extended XYZ file:
```
8
Lattice="0.0000 4.9767 4.9767 4.9767 0.0000 4.9767 4.9767 4.9767 0.0000" Properties=species:S:1:pos:R:3 pbc="T T T"
Pm 0.0000 0.0000 0.0000
Pb 2.4884 2.4884 0.0000
Pb 2.4884 0.0000 2.4884
Pb 4.9767 2.4884 2.4884
Pb 0.0000 2.4884 2.4884
Pb 2.4884 4.9767 2.4884
Pb 2.4884 2.4884 4.9767
Pb 4.9767 4.9767 4.9767
```

calculated total energy	-31.87	eV/f.u.
space group	No. 225
density of states at the Fermi level	0.93	states/eV per atom
total magnetic moment	0.00	μB per atom

---

Record 9
Ca2SbOs: relaxed, GGA-PBE.

extended XYZ file:
```
4
Lattice="4.3121 0.0000 0.0000 0.0000 2.2637 5.4955 0.0000 -2.2637 5.4955" Properties=species:S:1:pos:R:3 pbc="T T T"
Ca 0.0000 0.0000 0.0000
Ca 2.1561 0.0000 3.1359
Sb 2.1561 0.0000 6.4007
Os 0.0000 0.0000 7.8336
```

calculated total energy	-19.75	eV/f.u.
uncorrected formation energy	-0.098	eV/atom
space group	No. 38
density of states at the Fermi level	0.90	states/eV per atom
total magnetic moment	0.00	μB per atom

---

Record 10
SrVPd3: relaxed, GGA-PBE.

extended XYZ file:
```
5
Lattice="5.1059 0.0000 0.0000 0.0000 5.1059 0.0000 0.0000 0.0000 5.1059" Properties=species:S:1:pos:R:3 pbc="T T T"
Sr 0.0000 0.0000 0.0000
V 2.5529 2.5529 2.5529
Pd 0.0000 0.0000 2.5529
Pd 0.0000 2.5529 0.0000
Pd 2.5529 0.0000 0.0000
```

energy above the most stable polymorph in this dataset	1233.7	meV/atom
calculated total energy	-20.08	eV/f.u.
space group	No. 221
density of states at the Fermi level	1.90	states/eV per atom
total magnetic moment	0.75	μB per atom

---

Record 11
Sr2HoIr3O12: relaxed, GGA-PBE.

extended XYZ file:
```
18
Lattice="3.6433 2.1035 5.2011 -3.6433 2.1035 5.2011 0.0000 -4.2069 5.2011" Properties=species:S:1:pos:R:3 pbc="T T T"
Sr 0.0000 0.0000 1.7643
Sr 0.0000 0.0000 13.8389
Ho 0.0000 0.0000 7.8016
Ir -1.8216 -1.0517 5.2011
Ir -1.8216 1.0517 10.4021
Ir 0.0000 2.1035 5.2011
O -1.9653 -1.1347 7.0970
O 0.0000 -1.7752 5.4102
O -1.5374 0.8876 5.4102
O 0.0000 -2.2694 8.5062
O -1.9653 1.1347 8.5062
O -1.5374 -0.8876 10.1930
O 1.5374 0.8876 5.4102
O 1.9653 -1.1347 7.0970
O 0.0000 2.2694 7.0970
O 1.5374 -0.8876 10.1930
O 0.0000 1.7752 10.1930
O 1.9653 1.1347 8.5062
```

calculated total energy	-121.31	eV/f.u.
uncorrected formation energy	-1.516	eV/atom
space group	No. 166
density of states at the Fermi level	0.62	states/eV per atom
total magnetic moment	0.00	μB per atom

---

Record 12
NdPaBi: relaxed, GGA-PBE.

extended XYZ file:
```
3
Lattice="5.4521 0.0000 0.0000 -2.7261 4.7217 0.0000 0.0000 0.0000 3.3171" Properties=species:S:1:pos:R:3 pbc="T T T"
Nd 0.0000 0.0000 0.0000
Pa 0.0000 3.1478 0.0053
Bi 2.7261 1.5739 1.6624
```

energy above the most stable polymorph in this dataset	271.6	meV/atom
calculated total energy	-17.44	eV/f.u.
space group	No. 156
density of states at the Fermi level	1.97	states/eV per atom
total magnetic moment	0.34	μB per atom

---

Record 13
SnMo2PPb: relaxed, GGA-PBE.

extended XYZ file:
```
5
Lattice="5.3290 0.0000 0.0000 0.0000 5.3290 0.0000 0.0000 0.0000 5.6368" Properties=species:S:1:pos:R:3 pbc="T T T"
Sn 0.0000 0.0000 0.0000
Mo 0.0000 2.6645 2.8184
Mo 2.6645 0.0000 2.8184
P 2.6645 2.6645 0.0000
Pb 0.0000 0.0000 2.8184
```

calculated total energy	-23.50	eV/f.u.
space group	No. 123
density of states at the Fermi level	0.47	states/eV per atom
total magnetic moment	1.37	μB per atom

---

Record 14
BaAgHgO2: relaxed, GGA-PBE.

extended XYZ file:
```
10
Lattice="2.9157 -6.5769 0.0000 2.9157 6.5769 0.0000 0.0000 0.0000 4.9379" Properties=species:S:1:pos:R:3 pbc="T T T"
Ba 2.9157 3.2884 3.7165
Ba 2.9157 -3.2884 1.2215
Ag 0.0000 0.0000 0.0000
Ag 2.9157 0.0000 0.0000
Hg 1.4578 0.0000 2.4690
Hg 4.3735 0.0000 2.4690
O 2.9157 4.6936 1.0970
O 2.9157 1.8833 1.0970
O 2.9157 -1.8833 3.8409
O 2.9157 -4.6936 3.8409
```

calculated total energy	-19.53	eV/f.u.
uncorrected formation energy	-0.907	eV/atom
space group	No. 67
density of states at the Fermi level	0.30	states/eV per atom
total magnetic moment	0.00	μB per atom

---

Record 15
HfSi2GeBi: relaxed, GGA-PBE.

extended XYZ file:
```
5
Lattice="4.7288 0.0000 0.0000 0.0000 4.7288 0.0000 0.0000 0.0000 5.2647" Properties=species:S:1:pos:R:3 pbc="T T T"
Hf 0.0000 0.0000 0.0000
Si 0.0000 2.3644 2.6324
Si 2.3644 0.0000 2.6324
Ge 0.0000 0.0000 2.6324
Bi 2.3644 2.3644 0.0000
```

calculated total energy	-25.75	eV/f.u.
uncorrected formation energy	0.709	eV/atom
space group	No. 123
density of states at the Fermi level	0.63	states/eV per atom
total magnetic moment	0.00	μB per atom

---

Record 16
CeNdDyTh: relaxed, GGA-PBE.

extended XYZ file:
```
4
Lattice="1.7826 1.0292 11.5399 -1.7826 1.0292 11.5399 0.0000 -2.0584 11.5399" Properties=species:S:1:pos:R:3 pbc="T T T"
Ce 0.0000 0.0000 0.0000
Nd 0.0000 0.0000 5.8468
Dy 0.0000 0.0000 14.3627
Th 0.0000 0.0000 20.3174
```

energy above the most stable polymorph in this dataset	0.0	meV/atom
calculated total energy	-22.56	eV/f.u.
space group	No. 160
density of states at the Fermi level	1.91	states/eV per atom
total magnetic moment	0.00	μB per atom

---

Record 17
LiAlAg: relaxed, GGA-PBE.

extended XYZ file:
```
12
Lattice="8.0705 0.0000 0.0000 0.0000 4.6515 0.0000 -1.6565 0.0000 5.3230" Properties=species:S:1:pos:R:3 pbc="T T T"
Li 0.0767 0.7446 1.8421
Li -0.7515 1.5812 4.5036
Li 7.1656 3.0703 0.8194
Li 6.3374 3.9069 3.4809
Al 1.9728 0.6723 4.0285
Al 2.8010 1.6534 1.3670
Al 3.6131 2.9981 3.9560
Al 4.4413 3.9791 1.2945
Ag 1.0287 3.0279 2.9591
Ag 1.8569 3.9493 0.2976
Ag 4.5572 0.7022 5.0255
Ag 5.3854 1.6235 2.3639
```

energy above the most stable polymorph in this dataset	96.0	meV/atom
calculated total energy	-8.88	eV/f.u.
space group	No. 14
density of states at the Fermi level	0.24	states/eV per atom
total magnetic moment	0.00	μB per atom

---

Record 18
MnSbPb2: relaxed, GGA-PBE.

extended XYZ file:
```
4
Lattice="-2.2925 2.2925 5.1097 2.2925 -2.2925 5.1097 2.2925 2.2925 -5.1097" Properties=species:S:1:pos:R:3 pbc="T T T"
Mn 0.0000 0.0000 0.0000
Sb 0.0000 2.2925 2.5549
Pb 2.2925 0.0000 2.5549
Pb 0.0000 0.0000 5.1097
```

calculated total energy	-19.35	eV/f.u.
uncorrected formation energy	0.341	eV/atom
space group	No. 119
density of states at the Fermi level	0.50	states/eV per atom
total magnetic moment	1.06	μB per atom

---

Record 19
CePaCu2Ge2: relaxed, GGA-PBE.

extended XYZ file:
```
6
Lattice="4.1820 0.0000 0.0000 -2.0910 3.6217 0.0000 0.0000 0.0000 7.9212" Properties=species:S:1:pos:R:3 pbc="T T T"
Ce 0.0000 0.0000 0.0000
Pa 0.0000 0.0000 3.9606
Cu 0.0000 2.4145 2.1881
Cu 2.0910 1.2072 5.7331
Ge 0.0000 2.4145 5.9136
Ge 2.0910 1.2072 2.0075
```

calculated total energy	-35.70	eV/f.u.
space group	No. 164
density of states at the Fermi level	1.81	states/eV per atom
total magnetic moment	0.21	μB per atom

---

Record 20
ScMnRe2: relaxed, GGA-PBE.

extended XYZ file:
```
4
Lattice="2.7324 0.0000 0.0000 0.0000 4.4515 0.0000 -0.8305 0.0000 4.9799" Properties=species:S:1:pos:R:3 pbc="T T T"
Sc 0.0000 0.0000 0.0000
Mn 0.9510 0.0000 2.4900
Re 0.1260 2.2257 3.7129
Re 1.7759 2.2257 1.2670
```

energy above the most stable polymorph in this dataset	138.1	meV/atom
calculated total energy	-40.06	eV/f.u.
space group	No. 10
density of states at the Fermi level	0.90	states/eV per atom
total magnetic moment	0.32	μB per atom

---

Record 21
ZrZn6Pd12: relaxed, GGA-PBE.

extended XYZ file:
```
19
Lattice="5.4758 3.1614 3.0519 -5.4758 3.1614 3.0519 0.0000 -6.3229 3.0519" Properties=species:S:1:pos:R:3 pbc="T T T"
Zr 0.0000 0.0000 0.0000
Zn -0.4818 -1.4785 2.7541
Zn -1.0395 1.1564 2.7541
Zn 1.5213 0.3220 2.7541
Zn -1.5213 -0.3220 6.4015
Zn 1.0395 -1.1564 6.4015
Zn 0.4817 1.4785 6.4015
Pd -3.6269 1.2701 2.6000
Pd 0.7135 -3.7760 2.6000
Pd -2.5344 -0.7086 4.0792
Pd -2.9134 -2.5060 6.5556
Pd -0.6535 -2.5491 5.0764
Pd -1.8808 1.8405 5.0764
Pd 1.8808 -1.8405 4.0792
Pd 0.6535 2.5491 4.0792
Pd 2.9134 2.5059 2.6000
Pd 2.5344 0.7086 5.0764
Pd -0.7135 3.7760 6.5556
Pd 3.6269 -1.2701 6.5556
```

calculated total energy	-82.85	eV/f.u.
space group	No. 148
density of states at the Fermi level	0.43	states/eV per atom
total magnetic moment	0.00	μB per atom

---

Record 22
Sr3HoPt8: relaxed, GGA-PBE.

extended XYZ file:
```
12
Lattice="2.7721 1.6005 9.0154 -2.7721 1.6005 9.0154 0.0000 -3.2010 9.0154" Properties=species:S:1:pos:R:3 pbc="T T T"
Sr 0.0000 0.0000 0.0000
Sr 0.0000 0.0000 3.3640
Sr 0.0000 0.0000 16.9506
Ho 0.0000 0.0000 13.5600
Pt 0.0000 -1.5834 6.1488
Pt -1.3713 0.7917 6.1488
Pt -1.3682 -0.7900 10.7915
Pt 0.0000 0.0000 8.4666
Pt 1.3713 0.7917 6.1488
Pt 1.3682 -0.7900 10.7915
Pt 0.0000 1.5799 10.7915
Pt 0.0000 0.0000 22.0003
```

calculated total energy	-68.93	eV/f.u.
space group	No. 160
density of states at the Fermi level	0.76	states/eV per atom
total magnetic moment	0.00	μB per atom

---

Record 23
Cu2ReNi4: relaxed, GGA-PBE.

extended XYZ file:
```
7
Lattice="1.9028 -8.6329 0.0000 1.9028 8.6329 0.0000 0.0000 0.0000 2.5235" Properties=species:S:1:pos:R:3 pbc="T T T"
Cu 1.9028 5.0041 0.0000
Cu 1.9028 -5.0041 0.0000
Re 1.9028 0.0000 1.2618
Ni 1.9028 7.4068 0.0000
Ni 1.9028 2.5090 1.2618
Ni 1.9028 -2.5090 1.2618
Ni 1.9028 -7.4068 0.0000
```

calculated total energy	-43.46	eV/f.u.
space group	No. 65
density of states at the Fermi level	0.89	states/eV per atom
total magnetic moment	0.00	μB per atom

---

Record 24
Er4Sb3H: relaxed, GGA-PBE.

extended XYZ file:
```
16
Lattice="9.6502 0.0000 0.0000 0.0000 8.1662 0.0000 0.0000 0.0000 6.1389" Properties=species:S:1:pos:R:3 pbc="T T T"
Er 0.0000 0.7982 0.0006
Er 0.0000 6.7666 2.9883
Er 1.9440 5.7627 0.0000
Er 2.8811 2.4036 3.0694
Er 4.8251 1.3997 6.0578
Er 4.8251 7.3681 3.0701
Er 6.7690 2.4036 3.0694
Er 7.7062 5.7627 0.0000
Sb 0.0000 1.5196 3.0863
Sb 2.2560 2.7776 0.0107
Sb 2.5691 5.3886 3.0802
Sb 4.8251 6.6467 0.0169
Sb 7.0811 5.3886 3.0802
Sb 7.3942 2.7776 0.0107
H 0.0000 6.8016 5.2179
H 4.8251 1.3646 2.1485
```

calculated total energy	-38.22	eV/f.u.
space group	No. 31
density of states at the Fermi level	0.57	states/eV per atom
total magnetic moment	0.00	μB per atom